No. 1
VASP calculation (PBE) on crystalline LaCuSn2 at its relaxed geometry.

The structure in CIF format:
```
data_LaCuSn2
_chemical_formula_sum 'La4 Cu4 Sn8'
_space_group_name_H-M_alt 'F m -3 m'
_space_group_IT_number 225
_space_group_name_Hall '-F 4 2 3'
_cell_length_a 7.377
_cell_length_b 7.377
_cell_length_c 7.377
_cell_angle_alpha 90.00
_cell_angle_beta 90.00
_cell_angle_gamma 90.00
loop_
_atom_site_label
_atom_site_fract_x
_atom_site_fract_y
_atom_site_fract_z
La1 0.000 0.000 0.000
Cu1 0.000 0.000 0.500
Sn1 0.250 0.250 0.250
```

## Properties
D(E_F)	9.4	states/eV/cell
total magnetic moment	0.0	μB per cell
ΔE_f	-0.16	eV/atom

=====

No. 2
VASP calculation (PBE) on crystalline ZrAuN2 at its relaxed geometry.

The structure in CIF format:
```
data_ZrAuN2
_chemical_formula_sum 'Zr4 Au4 N8'
_space_group_name_H-M_alt 'F m -3 m'
_space_group_IT_number 225
_space_group_name_Hall '-F 4 2 3'
_cell_length_a 5.788
_cell_length_b 5.788
_cell_length_c 5.788
_cell_angle_alpha 90.00
_cell_angle_beta 90.00
_cell_angle_gamma 90.00
loop_
_atom_site_label
_atom_site_fract_x
_atom_site_fract_y
_atom_site_fract_z
Zr1 0.000 0.000 0.000
Au1 0.000 0.000 0.500
N1 0.250 0.250 0.250
```

## Properties
D(E_F)	14.4	states/eV/cell
total magnetic moment	0.0	μB per cell
formation energy (no corrections)	0.44	eV per atom
offset from the most stable computed form	3.24	eV per formula unit

=====

No. 3
VASP calculation (PBE) on crystalline HoErPu2 at its relaxed geometry.

The structure in CIF format:
```
data_HoErPu2
_chemical_formula_sum 'Ho1 Er1 Pu2'
_space_group_name_H-M_alt 'P 4/m m m'
_space_group_IT_number 123
_space_group_name_Hall '-P 4 2'
_cell_length_a 4.793
_cell_length_b 4.793
_cell_length_c 5.016
_cell_angle_alpha 90.00
_cell_angle_beta 90.00
_cell_angle_gamma 90.00
loop_
_atom_site_label
_atom_site_fract_x
_atom_site_fract_y
_atom_site_fract_z
Ho1 0.000 0.000 0.000
Er1 0.500 0.500 0.000
Pu1 0.000 0.500 0.500
```

## Properties
D(E_F)	14.4	states/eV/cell
total magnetic moment	12.8	μB per cell
offset from the most stable computed form	0.01	eV per formula unit
ΔE_f	0.17	eV/atom